# Th4TcCl5

A relaxed structure of Th4TcCl5 (PBE, the Alexandria database).

Unit cell a=9.0257 b=9.0257 c=8.9022 alpha=98.91 beta=98.91 gamma=24.37
Element x y z (fractional)
Th1 0.0026 0.0026 0.2204
Th2 0.3309 0.3309 0.9538
Th3 0.6691 0.6691 0.0462
Th4 0.9974 0.9974 0.7796
Tc1 0.5000 0.5000 0.0000
Cl1 0.1641 0.1641 0.7857
Cl2 0.1671 0.1671 0.3001
Cl3 0.5000 0.5000 0.5000
Cl4 0.8329 0.8329 0.6999
Cl5 0.8359 0.8359 0.2143

Calculated values
formation energy without anion corrections = -13.66 eV/f.u.
N(E_F) = 0.5455 states/eV/atom